[1]
Below is a relaxed RbAsIr crystal, with properties calculated at the PBE level.

It has space group P-6m2 (No. 187), with a = 4.1266 Å, b = 4.1266 Å, c = 5.7243 Å, α = 90.00°, β = 90.00° and γ = 120.00°. The distinct sites, in fractional coordinates, are Rb at (0.0000, 0.0000, 0.0000), As at (0.3333, 0.6667, 0.5000) and Ir at (0.6667, 0.3333, 0.5000).

Its formation energy from the elements is -0.1142 eV/atom.


[2]
Below is a relaxed RbAsIr3 crystal, with properties calculated at the PBE level.

It has space group Pm-3m (No. 221), with a = 4.7328 Å, b = 4.7328 Å, c = 4.7328 Å, α = 90.00°, β = 90.00° and γ = 90.00°. The distinct sites, in fractional coordinates, are Rb at (0.0000, 0.0000, 0.0000), As at (0.5000, 0.5000, 0.5000) and Ir at (0.0000, 0.5000, 0.5000).

Its formation energy from the elements is 1.0054 eV/atom.


[3]
Below is a relaxed RbAsIr crystal, with properties calculated at the PBE level.

It has space group P4/nmm (No. 129, origin choice 2), with a = 4.0921 Å, b = 4.0921 Å, c = 11.0993 Å, α = 90.00°, β = 90.00° and γ = 90.00°. The distinct sites, in fractional coordinates, are Rb at (0.2500, 0.2500, 0.1992), As at (0.2500, 0.2500, 0.6260) and Ir at (0.2500, 0.7500, 0.5000).

Its formation energy from the elements is -0.3757 eV/atom.


[4]
Below is a relaxed RbAsIr crystal, with properties calculated at the PBE level.

It has space group I4/mmm (No. 139), with a = 4.0931 Å, b = 4.0931 Å, c = 20.7892 Å, α = 90.00°, β = 90.00° and γ = 90.00°. The distinct sites, in fractional coordinates, are Rb at (0.0000, 0.0000, 0.1490), As at (0.0000, 0.0000, 0.4281) and Ir at (0.0000, 0.5000, 0.0000).

Its formation energy from the elements is -0.2165 eV/atom.